A plane-wave DFT calculation with PBE-GGA was carried out for a relaxed structure of NbTlPd2.

a = 3.401 Å, b = 3.401 Å, c = 6.385 Å
α = 90.00°, β = 90.00°, γ = 90.00°
Space group P4/mmm (No. 123)
Symmetry-distinct sites (fractional):
Nb1 0.000 0.000 0.000 (multiplicity 1)
Tl1 0.000 0.000 0.500 (multiplicity 1)
Pd1 0.500 0.500 0.217 (multiplicity 2)

Computed properties:
Total energy, eV per atom: -5.8149

***

A plane-wave DFT calculation with PBE-GGA was carried out for a relaxed structure of NbTl2Pd9.

a = 4.032 Å, b = 4.032 Å, c = 12.242 Å
α = 90.00°, β = 90.00°, γ = 90.00°
Space group P4/mmm (No. 123)
Symmetry-distinct sites (fractional):
Nb1 0.000 0.000 0.000 (multiplicity 1)
Tl1 0.000 0.000 0.333 (multiplicity 2)
Pd1 0.000 0.500 0.155 (multiplicity 4)
Pd2 0.000 0.500 0.500 (multiplicity 2)
Pd3 0.500 0.500 0.000 (multiplicity 1)
Pd4 0.500 0.500 0.327 (multiplicity 2)

Computed properties:
Total energy, eV per atom: -5.4449

***

A plane-wave DFT calculation with PBE-GGA was carried out for a relaxed structure of NbTl3Pd12.

a = 4.036 Å, b = 4.036 Å, c = 16.408 Å
α = 90.00°, β = 90.00°, γ = 90.00°
Space group P4/mmm (No. 123)
Symmetry-distinct sites (fractional):
Nb1 0.000 0.000 0.000 (multiplicity 1)
Tl1 0.000 0.000 0.249 (multiplicity 2)
Tl2 0.000 0.000 0.500 (multiplicity 1)
Pd1 0.000 0.500 0.115 (multiplicity 4)
Pd2 0.000 0.500 0.373 (multiplicity 4)
Pd3 0.500 0.500 0.000 (multiplicity 1)
Pd4 0.500 0.500 0.243 (multiplicity 2)
Pd5 0.500 0.500 0.500 (multiplicity 1)

Computed properties:
Total energy, eV per atom: -5.2498

***

A plane-wave DFT calculation with PBE-GGA was carried out for a relaxed structure of NbTlPd.

a = 5.560 Å, b = 7.793 Å, c = 11.347 Å
α = 90.00°, β = 90.00°, γ = 90.00°
Space group Fmmm (No. 69)
Symmetry-distinct sites (fractional):
Nb1 0.000 0.196 0.000 (multiplicity 8)
Tl1 0.250 0.250 0.250 (multiplicity 8)
Pd1 0.000 0.000 0.386 (multiplicity 8)

Computed properties:
Total energy, eV per atom: -5.5340

***

A plane-wave DFT calculation with PBE-GGA was carried out for a relaxed structure of NbTl3Pd.

a = 5.181 Å, b = 5.181 Å, c = 5.181 Å
α = 90.00°, β = 90.00°, γ = 90.00°
Space group Pm-3m (No. 221)
Symmetry-distinct sites (fractional):
Nb1 0.000 0.000 0.000 (multiplicity 1)
Tl1 0.000 0.500 0.500 (multiplicity 3)
Pd1 0.500 0.500 0.500 (multiplicity 1)

Computed properties:
Offset from the most stable computed form, eV per formula unit: 0.13

***

A plane-wave DFT calculation with PBE-GGA was carried out for a relaxed structure of Tm3NbPd12.

a = 4.061 Å, b = 4.061 Å, c = 16.259 Å
α = 90.00°, β = 90.00°, γ = 90.00°
Space group P4/mmm (No. 123)
Symmetry-distinct sites (fractional):
Tm1 0.000 0.000 0.000 (multiplicity 1)
Tm2 0.000 0.000 0.250 (multiplicity 2)
Nb1 0.000 0.000 0.500 (multiplicity 1)
Pd1 0.000 0.500 0.127 (multiplicity 4)
Pd2 0.000 0.500 0.384 (multiplicity 4)
Pd3 0.500 0.500 0.000 (multiplicity 1)
Pd4 0.500 0.500 0.256 (multiplicity 2)
Pd5 0.500 0.500 0.500 (multiplicity 1)

Computed properties:
Total energy, eV per atom: -6.1702